PmMg6Sc after structural relaxation. Source: the Alexandria database, functional PBE-GGA.

**Energy**: -21.069 eV per cell
**Space group**: P4/mmm
**M_tot**: 0.00 μB/f.u.
**Energy of formation from the pure elements**: -40 kJ/mol of formula units

Unit cell a=4.644 b=4.644 c=9.191 alpha=90.00 beta=90.00 gamma=90.00
Fractional positions:
1 Mg 0.500 0.500 0.500
2 Mg 0.000 0.500 0.261
3 Mg 0.500 0.000 0.739
4 Mg 0.500 0.000 0.261
5 Mg 0.000 0.500 0.739
6 Mg 0.500 0.500 0.000
7 Sc 0.000 0.000 0.500
8 Pm 0.000 0.000 0.000



CrCoSi2 after structural relaxation. Source: the Alexandria database, functional PBE-GGA.

**Energy**: -28.490 eV per cell
**Space group**: P2/m
**ΔE_f (raw)**: -0.91 eV/f.u.
**M_tot**: 0.14 μB/f.u.

Unit cell a=3.650 b=2.620 c=4.977 alpha=90.08 beta=90.00 gamma=90.00
Site moments in Bohr magnetons follow the coordinates.
Fractional positions:
1 Co 0.500 0.250 0.250  0.03
2 Cr 0.500 0.750 0.750  0.12
3 Si 0.000 0.248 0.509  0.00
4 Si 0.000 0.252 0.991  0.00



Rb4Th3NpS8 after structural relaxation. Source: the Alexandria database, functional PBE-GGA.

**Energy**: -97.440 eV per cell
**Space group**: R-3m
**ΔE_f (raw)**: -25.35 eV/f.u.
**M_tot**: 5.29 μB/f.u.

Unit cell a=8.286 b=9.137 c=8.286 alpha=116.97 beta=120.00 gamma=90.00
Site moments in Bohr magnetons follow the coordinates.
Fractional positions:
1 Rb 0.500 0.000 0.000  0.00
2 Rb 0.500 0.000 0.500  0.00
3 Rb 0.000 0.000 0.000  0.00
4 Rb 0.000 0.000 0.500  0.00
5 Th 0.500 0.500 0.500  0.16
6 Th 0.500 0.500 0.000  0.16
7 Th 0.000 0.500 0.500  0.16
8 S 0.767 0.301 0.034  -0.02
9 S 0.733 0.699 0.966  -0.02
10 S 0.767 0.301 0.534  -0.02
11 S 0.233 0.699 0.466  -0.02
12 S 0.233 0.699 0.966  -0.02
13 S 0.267 0.301 0.034  -0.02
14 S 0.266 0.298 0.532  0.00
15 S 0.734 0.702 0.468  0.00
16 Np 0.000 0.500 0.000  4.08



LaPmAl3 after structural relaxation. Source: the Alexandria database, functional PBE-GGA.

**Energy**: -45.993 eV per cell
**Space group**: Cmcm
**M_tot**: 0.00 μB/f.u.
**Energy of formation from the pure elements**: -202 kJ/mol of formula units

Unit cell a=4.414 b=4.376 c=13.749 alpha=99.16 beta=90.00 gamma=90.00
Fractional positions:
1 Al 0.750 0.524 0.048
2 Al 0.250 0.476 0.952
3 Al 0.250 0.673 0.346
4 Al 0.750 0.620 0.239
5 Al 0.750 0.327 0.654
6 Al 0.250 0.380 0.761
7 Pm 0.250 0.795 0.590
8 Pm 0.750 0.205 0.410
9 La 0.750 0.927 0.854
10 La 0.250 0.073 0.146



Ba4HPd2 after structural relaxation. Source: the Alexandria database, functional PBE-GGA.

**Energy**: -23.936 eV per cell
**Space group**: I4/mmm
**M_tot**: 0.00 μB/f.u.
**ΔE to the lowest computed polymorph**: 39.3 meV/atom

Unit cell a=5.289 b=5.289 c=9.286 alpha=73.45 beta=73.45 gamma=90.00
Fractional positions:
1 Ba 0.811 0.811 0.378
2 Ba 0.500 0.000 0.000
3 Ba 0.189 0.189 0.622
4 Ba 0.000 0.500 0.000
5 H 0.000 0.000 0.000
6 Pd 0.374 0.374 0.251
7 Pd 0.626 0.626 0.749



Zn3Au5Br12 after structural relaxation. Source: the Alexandria database, functional PBE-GGA.

**Energy**: -176.235 eV per cell
**Space group**: Ia-3d
**ΔE_f (raw)**: -3.78 eV/f.u.
**M_tot**: 0.00 μB/f.u.

Unit cell a=14.849 b=14.849 c=14.849 alpha=109.47 beta=109.47 gamma=109.47
Fractional positions:
1 Br 0.355 0.859 0.529
2 Br 0.355 0.496 0.326
3 Br 0.645 0.504 0.674
4 Br 0.996 0.326 0.855
5 Br 0.674 0.670 0.529
6 Br 0.529 0.359 0.355
7 Br 0.674 0.004 0.645
8 Br 0.645 0.141 0.471
9 Br 0.971 0.826 0.330
10 Br 0.141 0.645 0.971
11 Br 0.504 0.859 0.830
12 Br 0.004 0.674 0.145
13 Br 0.326 0.996 0.355
14 Br 0.359 0.529 0.855
15 Br 0.029 0.855 0.859
16 Br 0.670 0.674 0.029
17 Br 0.859 0.504 0.330
18 Br 0.855 0.029 0.359
19 Br 0.830 0.471 0.826
20 Br 0.330 0.326 0.971
21 Br 0.496 0.141 0.170
22 Br 0.971 0.145 0.141
23 Br 0.830 0.359 0.504
24 Br 0.174 0.145 0.504
25 Br 0.170 0.529 0.174
26 Br 0.326 0.330 0.471
27 Br 0.330 0.004 0.859
28 Br 0.174 0.029 0.170
29 Br 0.170 0.641 0.496
30 Br 0.141 0.496 0.670
31 Br 0.670 0.996 0.141
32 Br 0.145 0.174 0.004
33 Br 0.004 0.330 0.359
34 Br 0.145 0.971 0.641
35 Br 0.529 0.170 0.674
36 Br 0.641 0.170 0.996
37 Br 0.504 0.645 0.174
38 Br 0.029 0.174 0.670
39 Br 0.641 0.471 0.145
40 Br 0.359 0.830 0.004
41 Br 0.471 0.641 0.645
42 Br 0.859 0.355 0.029
43 Br 0.855 0.826 0.996
44 Br 0.826 0.971 0.830
45 Br 0.996 0.670 0.641
46 Br 0.826 0.855 0.496
47 Br 0.471 0.830 0.326
48 Br 0.496 0.355 0.826
49 Au 0.000 0.000 0.500
50 Au 0.000 0.500 0.000
51 Au 0.250 0.875 0.125
52 Au 0.375 0.250 0.125
53 Au 0.375 0.125 0.750
54 Au 0.750 0.125 0.875
55 Au 0.875 0.250 0.625
56 Au 0.625 0.875 0.250
57 Au 0.000 0.500 0.500
58 Au 0.250 0.375 0.625
59 Au 0.000 0.000 0.000
60 Au 0.500 0.500 0.500
61 Au 0.500 0.000 0.000
62 Au 0.750 0.625 0.375
63 Au 0.500 0.500 0.000
64 Au 0.125 0.375 0.250
65 Au 0.625 0.750 0.875
66 Au 0.500 0.000 0.500
67 Au 0.125 0.750 0.375
68 Au 0.875 0.625 0.750
69 Zn 0.375 0.625 0.250
70 Zn 0.625 0.375 0.750
71 Zn 0.625 0.250 0.375
72 Zn 0.375 0.750 0.625
73 Zn 0.125 0.250 0.875
74 Zn 0.250 0.125 0.375
75 Zn 0.750 0.375 0.125
76 Zn 0.250 0.625 0.875
77 Zn 0.875 0.750 0.125
78 Zn 0.125 0.875 0.750
79 Zn 0.750 0.875 0.625
80 Zn 0.875 0.125 0.250



MnCu2Cl after structural relaxation. Source: the Alexandria database, functional PBE-GGA.

**Energy**: -18.744 eV per cell
**Space group**: R3m
**ΔE_f (raw)**: 0.46 eV/f.u.
**M_tot**: 4.10 μB/f.u.
**ΔE to the lowest computed polymorph**: 104.4 meV/atom

Unit cell a=7.838 b=7.838 c=7.838 alpha=22.84 beta=22.84 gamma=22.84
Site moments in Bohr magnetons follow the coordinates.
Fractional positions:
1 Cu 0.989 0.989 0.989  -0.02
2 Cu 0.248 0.248 0.248  0.09
3 Mn 0.502 0.502 0.502  3.79
4 Cl 0.761 0.761 0.761  0.07



ZnGaPS2 after structural relaxation. Source: the Alexandria database, functional PBE-GGA.

**Energy**: -15.074 eV per cell
**Space group**: P4/mmm
**ΔE_f (raw)**: 2.89 eV/f.u.
**M_tot**: 0.44 μB/f.u.
**ΔE to the lowest computed polymorph**: 0.0 meV/atom

Unit cell a=4.809 b=4.809 c=4.613 alpha=90.00 beta=90.00 gamma=90.00
Site moments in Bohr magnetons follow the coordinates.
Fractional positions:
1 S 0.000 0.500 0.000  0.01
2 S 0.500 0.000 0.000  0.01
3 P 0.000 0.000 0.500  0.17
4 Zn 0.000 0.000 0.000  0.00
5 Ga 0.500 0.500 0.500  0.01



Dy4TmTl2 after structural relaxation. Source: the Alexandria database, functional PBE-GGA.

**Energy**: -27.160 eV per cell
**Space group**: R-3m
**M_tot**: 0.00 μB/f.u.
**Energy of formation from the pure elements**: 44 kJ/mol of formula units
**ΔE to the lowest computed polymorph**: 0.0 meV/atom

Unit cell a=5.469 b=5.469 c=9.302 alpha=72.90 beta=72.90 gamma=60.00
Fractional positions:
1 Dy 0.869 0.869 0.394
2 Dy 0.131 0.131 0.606
3 Dy 0.264 0.264 0.209
4 Dy 0.736 0.736 0.791
5 Tl 0.618 0.618 0.146
6 Tl 0.382 0.382 0.854
7 Tm 0.500 0.500 0.500



Mn2IrOs after structural relaxation. Source: the Alexandria database, functional PBE-GGA.

**Energy**: -38.522 eV per cell
**Space group**: P4/mmm
**M_tot**: 2.34 μB/f.u.
**Energy of formation from the pure elements**: -9 kJ/mol of formula units
**ΔE to the lowest computed polymorph**: 91.4 meV/atom

Unit cell a=2.656 b=2.656 c=7.334 alpha=90.00 beta=90.00 gamma=90.00
Site moments in Bohr magnetons follow the coordinates.
Fractional positions:
1 Ir 0.500 0.500 0.750  -0.15
2 Mn 0.000 0.000 0.499  1.34
3 Mn 0.000 0.000 0.001  1.34
4 Os 0.500 0.500 0.250  -0.27



UCoPH after structural relaxation. Source: the Alexandria database, functional PBE-GGA.

**Energy**: -59.856 eV per cell
**Space group**: P4/nmm
**M_tot**: 2.47 μB/f.u.

Unit cell a=3.852 b=3.852 c=6.690 alpha=90.00 beta=90.00 gamma=90.00
Site moments in Bohr magnetons follow the coordinates.
Fractional positions:
1 H 0.500 0.500 0.500  -0.01
2 H 0.000 0.000 0.500  -0.01
3 U 0.000 0.500 0.338  1.71
4 U 0.500 0.000 0.662  1.71
5 P 0.000 0.500 0.813  0.00
6 P 0.500 0.000 0.187  0.00
7 Co 0.500 0.500 0.000  0.62
8 Co 0.000 0.000 0.000  0.62



Tb3Pm6Tm2Th after structural relaxation. Source: the Alexandria database, functional PBE-GGA.

**Energy**: -58.400 eV per cell
**Space group**: C2/m
**M_tot**: 0.00 μB/f.u.
**Energy of formation from the pure elements**: 34 kJ/mol of formula units

Unit cell a=6.226 b=6.226 c=11.929 alpha=95.01 beta=95.01 gamma=119.94
Fractional positions:
1 Tb 0.500 0.500 0.500
2 Tb 0.167 0.833 0.500
3 Tb 0.833 0.167 0.500
4 Pm 0.917 0.586 0.752
5 Pm 0.753 0.753 0.248
6 Pm 0.414 0.083 0.248
7 Pm 0.083 0.414 0.248
8 Pm 0.586 0.917 0.752
9 Pm 0.247 0.247 0.752
10 Tm 0.333 0.667 0.000
11 Tm 0.667 0.333 0.000
12 Th 0.000 0.000 0.000